A relaxed Sr3PuPa2N6 crystal. Source: Alexandria, functional PBE.

Properties
- Space group: No. 12

abc: 3.616 7.290 8.159
angles: 103.78 102.80 90.00
Sites, in units of the cell vectors:
Pa 0.166 0.329 0.331
Pa 0.834 0.671 0.669
N 0.662 0.122 0.325
Sr 0.500 0.500 0.000
N 0.983 0.770 0.967
Sr 0.836 0.166 0.672
N 0.017 0.230 0.033
N 0.680 0.550 0.359
N 0.338 0.878 0.675
N 0.320 0.450 0.641
Sr 0.164 0.834 0.328
Pu 0.500 0.000 0.000



A relaxed SrPu3Pa2N6 crystal. Source: Alexandria, functional PBE.

Properties
- Space group: No. 12

abc: 3.534 7.047 7.936
angles: 102.45 102.86 90.00
Sites, in units of the cell vectors:
Sr 0.500 0.000 0.000
N 0.332 0.427 0.664
Pu 0.833 0.165 0.667
N 0.325 0.899 0.651
Pu 0.500 0.500 0.000
Pa 0.832 0.666 0.665
N 0.675 0.101 0.349
N 0.986 0.712 0.972
Pu 0.167 0.835 0.333
Pa 0.168 0.334 0.335
N 0.014 0.288 0.028
N 0.668 0.573 0.336



A relaxed Sr4PuPa3N8 crystal. Source: Alexandria, functional PBE.

Properties
- Space group: No. 166

abc: 7.233 7.305 7.233
angles: 119.67 120.00 90.00
Sites, in units of the cell vectors:
Pa 0.000 0.500 0.500
Pa 0.500 0.500 0.000
N 0.761 0.304 0.043
N 0.268 0.304 0.536
N 0.282 0.304 0.043
Sr 0.500 0.000 0.000
Pu 0.000 0.500 0.000
Sr 0.500 0.000 0.500
Sr 0.000 0.000 0.500
Sr 0.000 0.000 0.000
N 0.761 0.305 0.522
N 0.239 0.696 0.957
N 0.718 0.696 0.957
Pa 0.500 0.500 0.500
N 0.239 0.695 0.478
N 0.732 0.696 0.464



A relaxed SrPuPaN4 crystal. Source: Alexandria, functional PBE.

Properties
- Space group: No. 107

abc: 4.135 4.135 7.108
angles: 106.91 106.91 90.00
Sites, in units of the cell vectors:
N 0.522 0.022 0.043
Pu 0.997 0.997 0.995
N 0.022 0.522 0.043
Sr 0.347 0.347 0.694
N 0.803 0.803 0.607
N 0.164 0.164 0.328
Pa 0.645 0.645 0.290



We obtain energy values of -103.7; -129.1; -136.9; -65.8 eV for the cell shown for the records listed above, in that order.